(P)
An optimized crystal structure of Dy2Mo3O12. Source: Alexandria, functional GGA-PBEsol.

Cell: 10.2767 10.3052 10.5634 Å, 90.00 90.00 90.00°
Last column: nearest neighbours and their distance in Å.
Fractional coordinates of all 68 atoms:
O 0.5053 0.1266 0.0453  1 Mo 1.80
O 0.6157 0.1181 0.4448  1 Mo 1.75
O 0.6216 0.6712 0.6431  1 Mo 1.76
O 0.1932 0.5102 0.2158  1 Mo 1.75
O 0.9947 0.6266 0.0453  1 Mo 1.80
O 0.3484 0.1628 0.4339  1 Mo 1.75
O 0.8843 0.6181 0.4448  1 Mo 1.75
O 0.8484 0.3372 0.4339  1 Mo 1.75
O 0.8730 0.0048 0.4279  1 Mo 1.80
O 0.6434 0.3178 0.6368  1 Mo 1.76
O 0.3566 0.6822 0.6368  1 Mo 1.76
O 0.8784 0.1712 0.6431  1 Mo 1.76
O 0.6574 0.6491 0.0526  1 Mo 1.75
O 0.1516 0.6628 0.4339  1 Mo 1.75
O 0.1220 0.1186 0.0195  1 Mo 1.75
O 0.1270 0.9952 0.4279  1 Mo 1.80
O 0.4809 0.6949 0.2579  1 Mo 1.75
O 0.8068 0.4898 0.2158  1 Mo 1.75
O 0.3426 0.3509 0.0526  1 Mo 1.75
O 0.6270 0.5048 0.4279  1 Mo 1.80
O 0.4947 0.8734 0.0453  1 Mo 1.80
O 0.3292 0.1413 0.8380  1 Mo 1.76
O 0.1157 0.3819 0.4448  1 Mo 1.75
O 0.6516 0.8372 0.4339  1 Mo 1.75
O 0.3068 0.0102 0.2158  1 Mo 1.75
O 0.0053 0.3734 0.0453  1 Mo 1.80
O 0.8566 0.8178 0.6368  1 Mo 1.76
O 0.9809 0.8051 0.2579  1 Mo 1.75
O 0.3730 0.4952 0.4279  1 Mo 1.80
O 0.3843 0.8819 0.4448  1 Mo 1.75
O 0.8175 0.6244 0.8322  1 Mo 1.76
O 0.1825 0.3756 0.8322  1 Mo 1.76
O 0.3780 0.6186 0.0195  1 Mo 1.75
O 0.1708 0.6413 0.8380  1 Mo 1.76
O 0.6825 0.1244 0.8322  1 Mo 1.76
O 0.3175 0.8756 0.8322  1 Mo 1.76
O 0.8292 0.3587 0.8380  1 Mo 1.76
O 0.5191 0.3051 0.2579  1 Mo 1.75
O 0.6220 0.3814 0.0195  1 Mo 1.75
O 0.6932 0.9898 0.2158  1 Mo 1.75
O 0.6708 0.8587 0.8380  1 Mo 1.76
O 0.1574 0.8509 0.0526  1 Mo 1.75
O 0.0191 0.1949 0.2579  1 Mo 1.75
O 0.1216 0.8288 0.6431  1 Mo 1.76
O 0.1434 0.1822 0.6368  1 Mo 1.76
O 0.8780 0.8814 0.0195  1 Mo 1.75
O 0.3784 0.3288 0.6431  1 Mo 1.76
O 0.8426 0.1491 0.0526  1 Mo 1.75
Mo 0.0026 0.7939 0.0939  4 O 1.75-1.80
Mo 0.9974 0.2061 0.0939  4 O 1.75-1.80
Mo 0.5026 0.7061 0.0939  4 O 1.75-1.80
Mo 0.2425 0.7568 0.7375  4 O 1.76
Mo 0.7947 0.4892 0.3809  4 O 1.75-1.80
Mo 0.7425 0.7432 0.7375  4 O 1.76
Mo 0.2053 0.5108 0.3809  4 O 1.75-1.80
Mo 0.4974 0.2939 0.0939  4 O 1.75-1.80
Mo 0.2947 0.0108 0.3809  4 O 1.75-1.80
Mo 0.7575 0.2432 0.7375  4 O 1.76
Mo 0.2575 0.2568 0.7375  4 O 1.76
Mo 0.7053 0.9892 0.3809  4 O 1.75-1.80
Dy 0.6867 0.9959 0.0001  7 O 2.21-2.39
Dy 0.9935 0.8133 0.4740  7 O 2.22-2.38
Dy 0.3133 0.0041 0.0001  7 O 2.21-2.39
Dy 0.8133 0.4959 0.0001  7 O 2.21-2.39
Dy 0.1867 0.5041 0.0001  7 O 2.21-2.39
Dy 0.0065 0.1867 0.4740  7 O 2.22-2.38
Dy 0.4935 0.6867 0.4740  7 O 2.22-2.38
Dy 0.5065 0.3133 0.4740  7 O 2.22-2.38

The calculation puts the total magnetization at 0.00 μB per formula unit. As for the density of states at the Fermi level: 0.00 states/eV/cell. As for the space group: Pba2 (32).

=====

(Q)
An optimized crystal structure of Dy2Mo3O12. Source: Alexandria, functional GGA-PBEsol.

Cell: 6.7601 6.7601 11.2355 Å, 100.64 100.64 112.43°
Last column: nearest neighbours and their distance in Å.
Fractional coordinates of all 34 atoms:
O 0.0980 0.0220 0.4203  1 Mo 1.85
O 0.9780 0.9020 0.0797  1 Mo 1.85
O 0.3708 0.2904 0.7801  1 Mo 1.74
O 0.8336 0.2695 0.4421  1 Mo 1.73
O 0.4140 0.3182 0.0408  1 Mo 1.84
O 0.0467 0.4109 0.7022  1 Mo 1.77
O 0.6818 0.5860 0.4592  1 Mo 1.84
O 0.6292 0.7096 0.2199  1 Mo 1.74
O 0.9020 0.9780 0.5797  1 Mo 1.85
O 0.1619 0.5788 0.1078  1 Mo 1.80
O 0.7305 0.1664 0.0579  1 Mo 1.73
O 0.9533 0.5891 0.2978  1 Mo 1.77
O 0.5860 0.6818 0.9592  1 Mo 1.84
O 0.7096 0.6292 0.7199  1 Mo 1.74
O 0.2695 0.8336 0.9421  1 Mo 1.73
O 0.4109 0.0467 0.2022  1 Mo 1.77
O 0.2904 0.3708 0.2801  1 Mo 1.74
O 0.5788 0.1619 0.6078  1 Mo 1.80
O 0.8381 0.4212 0.8922  1 Mo 1.80
O 0.3182 0.4140 0.5408  1 Mo 1.84
O 0.4212 0.8381 0.3922  1 Mo 1.80
O 0.5891 0.9533 0.7978  1 Mo 1.77
O 0.0220 0.0980 0.9203  1 Mo 1.85
O 0.1664 0.7305 0.5579  1 Mo 1.73
Mo 0.6300 0.3700 0.7500  4 O 1.74-1.80
Mo 0.3700 0.6300 0.2500  4 O 1.74-1.80
Mo 0.7438 0.9624 0.9457  4 O 1.73-1.85
Mo 0.0376 0.2562 0.5543  4 O 1.73-1.85
Mo 0.2562 0.0376 0.0543  4 O 1.73-1.85
Mo 0.9624 0.7438 0.4457  4 O 1.73-1.85
Dy 0.7898 0.5442 0.0909  8 O 2.29-2.40
Dy 0.4558 0.2102 0.4091  8 O 2.29-2.40
Dy 0.5442 0.7898 0.5909  8 O 2.29-2.40
Dy 0.2102 0.4558 0.9091  8 O 2.29-2.40

The calculation puts the total magnetization at 0.00 μB per formula unit. As for the density of states at the Fermi level: 0.00 states/eV/cell. As for the space group: C2/c (15).

=====

Quick one: least stable of them? (P)